Record 1
## Be2Co2B (PBE)

Data for a relaxed Be2Co2B crystal.

a = 5.141 Å, b = 5.141 Å, c = 3.379 Å
α = 90.00°, β = 90.00°, γ = 90.00°
Space group P4/mbm (No. 127)
Asymmetric unit:
Be 0.152 0.348 0.000
Co 0.159 0.659 0.500
B 0.000 0.000 0.500

raw total energy = -5.898 eV/atom
spin magnetization = 0.000 μB per cell
theoretical density = 5.456 g/cm³
Fermi-level density of states = 3.3 states/eV per cell
ΔH_f (0 K) = -1.15 eV/f.u.

Record 2
## ThScCu2 (PBE)

Data for a relaxed ThScCu2 crystal.

a = 4.6435 Å, b = 4.6435 Å, c = 13.3959 Å
α = 90.00°, β = 90.00°, γ = 120.00°
Space group R-3m (No. 166, hexagonal axes)
Asymmetric unit:
Th 0.0000 0.0000 0.0000
Sc 0.0000 0.0000 0.5000
Cu 0.0000 0.0000 0.2175

raw total energy = -5.617 eV/atom
relative energy among the computed polymorphs = 0.12 eV per formula unit
spin magnetization = 0.000 μB per cell
theoretical density = 8.047 g/cm³
Fermi-level density of states = 11.8 states/eV per cell
ΔH_f (0 K) = -0.53 eV/f.u.

Record 3
## LiOsS2Cl (PBE)

Data for a relaxed LiOsS2Cl crystal.

a = 4.300 Å, b = 4.300 Å, c = 4.274 Å
α = 90.00°, β = 90.00°, γ = 90.00°
Space group P4/mmm (No. 123)
Asymmetric unit:
Li 0.000 0.000 0.000
Os 0.500 0.500 0.500
S 0.000 0.500 0.000
Cl 0.000 0.000 0.500

raw total energy = -3.591 eV/atom
uncorrected formation energy = 1.058 eV/atom
relative energy among the computed polymorphs = 5.76 eV per formula unit
spin magnetization = 0.000 μB per cell
theoretical density = 6.235 g/cm³
Fermi-level density of states = 3.8 states/eV per cell

Record 4
## LaSiIrN (PBE)

Data for a relaxed LaSiIrN crystal.

a = 4.041 Å, b = 4.041 Å, c = 8.226 Å
α = 90.00°, β = 90.00°, γ = 90.00°
Space group P4/nmm (No. 129, origin choice 2)
Asymmetric unit:
La 0.250 0.250 0.161
Si 0.250 0.250 0.655
Ir 0.250 0.750 0.500
N 0.250 0.250 0.868

raw total energy = -8.144 eV/atom
uncorrected formation energy = -1.260 eV/atom
spin magnetization = 0.000 μB per cell
theoretical density = 9.227 g/cm³
Fermi-level density of states = 2.7 states/eV per cell